# 1
This record from Alexandria via LeMat-Bulk describes a relaxed MgAlBr2 crystal. The functional is PBE.

Raw formation energy in eV/atom: -0.454
Theoretical density in Mg/m³: 2.6
Space group: Imm2
Density of states at the Fermi level in states/eV/f.u.: 0.948

```
data_MgAlBr2
_space_group_name_H-M_alt 'P 1'
_space_group_IT_number 1
_cell_length_a 6.4676
_cell_length_b 6.4676
_cell_length_c 6.4676
_cell_angle_alpha 148.01
_cell_angle_beta 106.42
_cell_angle_gamma 82.48
loop_
_space_group_symop_operation_xyz
'x,y,z'
loop_
_atom_site_label
_atom_site_type_symbol
_atom_site_fract_x
_atom_site_fract_y
_atom_site_fract_z
_atom_site_occupancy
Mg1 Mg 0.5076 0.5076 0.0000 1
Br1 Br 0.3192 0.8192 0.5000 1
Br2 Br 0.9356 0.9356 0.0000 1
Al1 Al 0.7376 0.2376 0.5000 1
```



# 2
This record from Alexandria via LeMat-Bulk describes a relaxed Pa2Au13 crystal. The functional is PBE.

Energy in eV per atom: -4.1614
Theoretical density in Mg/m³: 16.1
Space group: R-3m
Density of states at the Fermi level in states/eV/f.u.: 14.428

```
data_Pa2Au13
_space_group_name_H-M_alt 'P 1'
_space_group_IT_number 1
_cell_length_a 7.4885
_cell_length_b 7.4885
_cell_length_c 7.7543
_cell_angle_alpha 61.13
_cell_angle_beta 61.13
_cell_angle_gamma 60.00
loop_
_space_group_symop_operation_xyz
'x,y,z'
loop_
_atom_site_label
_atom_site_type_symbol
_atom_site_fract_x
_atom_site_fract_y
_atom_site_fract_z
_atom_site_occupancy
Au1 Au 0.0421 0.6601 0.6378 1
Au2 Au 0.8062 0.1907 0.8124 1
Au3 Au 0.8093 0.8093 0.1876 1
Au4 Au 0.9579 0.3399 0.3622 1
Au5 Au 0.8093 0.1938 0.1876 1
Au6 Au 0.3399 0.9579 0.3622 1
Au7 Au 0.3399 0.3399 0.3622 1
Au8 Au 0.6601 0.0421 0.6378 1
Au9 Au 0.1907 0.1907 0.8124 1
Au10 Au 0.1938 0.8093 0.1876 1
Au11 Au 0.6601 0.6601 0.6378 1
Au12 Au 0.5000 0.5000 0.5000 1
Au13 Au 0.1907 0.8062 0.8124 1
Pa1 Pa 0.3372 0.3372 0.9883 1
Pa2 Pa 0.6628 0.6628 0.0117 1
```



# 3
This record from Alexandria via LeMat-Bulk describes a relaxed Mg2ZnW crystal. The functional is PBE.

Energy in eV per atom: -3.5406
Theoretical density in Mg/m³: 6.8
Space group: I-42d
Density of states at the Fermi level in states/eV/f.u.: 0.297

```
data_Mg2ZnW
_space_group_name_H-M_alt 'P 1'
_space_group_IT_number 1
_cell_length_a 7.3110
_cell_length_b 7.3110
_cell_length_c 5.8373
_cell_angle_alpha 51.23
_cell_angle_beta 51.23
_cell_angle_gamma 90.00
loop_
_space_group_symop_operation_xyz
'x,y,z'
loop_
_atom_site_label
_atom_site_type_symbol
_atom_site_fract_x
_atom_site_fract_y
_atom_site_fract_z
_atom_site_occupancy
W1 W 0.7500 0.2500 0.5000 1
W2 W 0.0000 0.0000 0.0000 1
Mg1 Mg 0.8750 0.8477 0.7500 1
Mg2 Mg 0.1523 0.6250 0.2500 1
Mg3 Mg 0.5977 0.1250 0.2500 1
Mg4 Mg 0.3750 0.4023 0.7500 1
Zn1 Zn 0.2500 0.7500 0.5000 1
Zn2 Zn 0.5000 0.5000 0.0000 1
```



# 4
This record from Alexandria via LeMat-Bulk describes a relaxed KAlOs2O8 crystal. The functional is PBE.

Raw formation energy in eV/atom: -1.348
Theoretical density in Mg/m³: 4.9
Space group: P-3

```
data_KAlOs2O8
_space_group_name_H-M_alt 'P 1'
_space_group_IT_number 1
_cell_length_a 5.3608
_cell_length_b 5.3608
_cell_length_c 7.7993
_cell_angle_alpha 90.00
_cell_angle_beta 90.00
_cell_angle_gamma 120.00
loop_
_space_group_symop_operation_xyz
'x,y,z'
loop_
_atom_site_label
_atom_site_type_symbol
_atom_site_fract_x
_atom_site_fract_y
_atom_site_fract_z
_atom_site_occupancy
O1 O 0.9446 0.6907 0.3543 1
O2 O 0.7461 0.0554 0.3543 1
O3 O 0.6907 0.7461 0.6457 1
O4 O 0.6667 0.3333 0.0579 1
O5 O 0.2539 0.9446 0.6457 1
O6 O 0.3333 0.6667 0.9421 1
O7 O 0.0554 0.3093 0.6457 1
O8 O 0.3093 0.2539 0.3543 1
Os1 Os 0.6667 0.3333 0.2851 1
Os2 Os 0.3333 0.6667 0.7149 1
Al1 Al 0.0000 0.0000 0.5000 1
K1 K 0.0000 0.0000 0.0000 1
```



# 5
This record from Alexandria via LeMat-Bulk describes a relaxed YPd2Rh2 crystal. The functional is PBE.

Energy in eV per atom: -6.5312
Theoretical density in Mg/m³: 9.8
Space group: P4/mbm
Density of states at the Fermi level in states/eV/f.u.: 6.388

```
data_YPd2Rh2
_space_group_name_H-M_alt 'P 1'
_space_group_IT_number 1
_cell_length_a 7.4713
_cell_length_b 7.4713
_cell_length_c 3.0969
_cell_angle_alpha 90.00
_cell_angle_beta 90.00
_cell_angle_gamma 90.00
loop_
_space_group_symop_operation_xyz
'x,y,z'
loop_
_atom_site_label
_atom_site_type_symbol
_atom_site_fract_x
_atom_site_fract_y
_atom_site_fract_z
_atom_site_occupancy
Pd1 Pd 0.3728 0.8728 0.0000 1
Pd2 Pd 0.1272 0.3728 0.0000 1
Pd3 Pd 0.6272 0.1272 0.0000 1
Pd4 Pd 0.8728 0.6272 0.0000 1
Rh1 Rh 0.3279 0.1721 0.5000 1
Rh2 Rh 0.1721 0.6721 0.5000 1
Rh3 Rh 0.8279 0.3279 0.5000 1
Rh4 Rh 0.6721 0.8279 0.5000 1
Y1 Y 0.0000 0.0000 0.0000 1
Y2 Y 0.5000 0.5000 0.0000 1
```



# 6
This record from Alexandria via LeMat-Bulk describes a relaxed Al2TeBr crystal. The functional is PBE.

Raw formation energy in eV/atom: -0.135
Theoretical density in Mg/m³: 3.8
Space group: Cmm2
Density of states at the Fermi level in states/eV/f.u.: 1.528

```
data_Al2TeBr
_space_group_name_H-M_alt 'P 1'
_space_group_IT_number 1
_cell_length_a 3.5834
_cell_length_b 3.5834
_cell_length_c 9.8409
_cell_angle_alpha 90.00
_cell_angle_beta 90.00
_cell_angle_gamma 116.46
loop_
_space_group_symop_operation_xyz
'x,y,z'
loop_
_atom_site_label
_atom_site_type_symbol
_atom_site_fract_x
_atom_site_fract_y
_atom_site_fract_z
_atom_site_occupancy
Br1 Br 0.0000 0.0000 0.4134 1
Te1 Te 0.5000 0.5000 0.8344 1
Al1 Al 0.5000 0.5000 0.2273 1
Al2 Al 0.0000 0.0000 0.0250 1
```



# 7
This record from Alexandria via LeMat-Bulk describes a relaxed Ac4Bi2S crystal. The functional is PBE.

Raw formation energy in eV/atom: -0.880
Theoretical density in Mg/m³: 8.2
Space group: I4/mmm
Density of states at the Fermi level in states/eV/f.u.: 7.956

```
data_Ac4Bi2S
_space_group_name_H-M_alt 'P 1'
_space_group_IT_number 1
_cell_length_a 5.6091
_cell_length_b 5.6091
_cell_length_c 9.6393
_cell_angle_alpha 106.91
_cell_angle_beta 106.91
_cell_angle_gamma 90.00
loop_
_space_group_symop_operation_xyz
'x,y,z'
loop_
_atom_site_label
_atom_site_type_symbol
_atom_site_fract_x
_atom_site_fract_y
_atom_site_fract_z
_atom_site_occupancy
Ac1 Ac 0.1707 0.1707 0.3415 1
Ac2 Ac 0.0000 0.5000 0.0000 1
Ac3 Ac 0.5000 0.0000 0.0000 1
Ac4 Ac 0.8293 0.8293 0.6585 1
Bi1 Bi 0.3657 0.3657 0.7314 1
Bi2 Bi 0.6343 0.6343 0.2686 1
S1 S 0.0000 0.0000 0.0000 1
```



# 8
This record from Alexandria via LeMat-Bulk describes a relaxed KMn2InBr8 crystal. The functional is PBE.

Raw formation energy in eV/atom: -0.855
Theoretical density in Mg/m³: 4.1
Space group: P-1

```
data_KMn2InBr8
_space_group_name_H-M_alt 'P 1'
_space_group_IT_number 1
_cell_length_a 6.7878
_cell_length_b 6.4675
_cell_length_c 8.3822
_cell_angle_alpha 89.69
_cell_angle_beta 89.74
_cell_angle_gamma 88.15
loop_
_space_group_symop_operation_xyz
'x,y,z'
loop_
_atom_site_label
_atom_site_type_symbol
_atom_site_fract_x
_atom_site_fract_y
_atom_site_fract_z
_atom_site_occupancy
Mn1 Mn 0.5008 0.5014 0.2517 1
Mn2 Mn 0.4992 0.4986 0.7483 1
Br1 Br 0.8317 0.2560 0.7792 1
Br2 Br 0.8297 0.2537 0.2202 1
Br3 Br 0.3652 0.2874 0.5001 1
Br4 Br 0.1683 0.7440 0.2208 1
Br5 Br 0.3430 0.2636 0.9997 1
Br6 Br 0.1703 0.7463 0.7798 1
Br7 Br 0.6348 0.7126 0.4999 1
Br8 Br 0.6570 0.7364 0.0003 1
K1 K 0.0000 0.0000 0.5000 1
In1 In 0.0000 0.0000 0.0000 1
```



# 9
This record from Alexandria via LeMat-Bulk describes a relaxed Ca2TlV crystal. The functional is PBE.

Energy in eV per atom: -3.6816
Theoretical density in Mg/m³: 5.1
Space group: Fm-3m
Density of states at the Fermi level in states/eV/f.u.: 1.945

```
data_Ca2TlV
_space_group_name_H-M_alt 'P 1'
_space_group_IT_number 1
_cell_length_a 5.3569
_cell_length_b 5.3569
_cell_length_c 5.3569
_cell_angle_alpha 60.00
_cell_angle_beta 60.00
_cell_angle_gamma 60.00
loop_
_space_group_symop_operation_xyz
'x,y,z'
loop_
_atom_site_label
_atom_site_type_symbol
_atom_site_fract_x
_atom_site_fract_y
_atom_site_fract_z
_atom_site_occupancy
Ca1 Ca 0.2500 0.2500 0.2500 1
Ca2 Ca 0.7500 0.7500 0.7500 1
Tl1 Tl 0.5000 0.5000 0.5000 1
V1 V 0.0000 0.0000 0.0000 1
```



# 10
This record from Alexandria via LeMat-Bulk describes a relaxed TlIn2Co crystal. The functional is PBE.

Energy in eV per atom: -3.4110
Theoretical density in Mg/m³: 8.8
Space group: P2/m
Density of states at the Fermi level in states/eV/f.u.: 2.136

```
data_TlIn2Co
_space_group_name_H-M_alt 'P 1'
_space_group_IT_number 1
_cell_length_a 4.4729
_cell_length_b 4.0005
_cell_length_c 5.7758
_cell_angle_alpha 63.65
_cell_angle_beta 90.00
_cell_angle_gamma 90.00
loop_
_space_group_symop_operation_xyz
'x,y,z'
loop_
_atom_site_label
_atom_site_type_symbol
_atom_site_fract_x
_atom_site_fract_y
_atom_site_fract_z
_atom_site_occupancy
In1 In 0.0000 0.8715 0.9642 1
In2 In 0.0000 0.6285 0.5358 1
Co1 Co 0.5000 0.7500 0.7500 1
Tl1 Tl 0.5000 0.2500 0.2500 1
```



Total magnetization in μB per atom, matching the order above: 0.000; 0.077; 0.000; 0.334; 0.000; 0.000; 0.000; 0.833; 0.930; 0.218